Entry 1:
Compound: Li17Nb18O54
Source: the Alexandria database
Functional: SCAN
Structure: PBEsol geometry

Calculated values
Formation energy (no corrections) ... -2.661 eV/atom
N(E_F) ... 0.55 states/eV/atom
Volume ... 963.89 Å³/cell
Size of the total moment ... 0.0152 μB per atom

CIF file:
```
data_Li17Nb18O54
_chemical_formula_sum 'Li17 Nb18 O54'
_symmetry_space_group_name_H-M 'P 1'
_symmetry_Int_Tables_number 1
_symmetry_space_group_name_Hall 'P 1'
_cell_length_a 8.934
_cell_length_b 9.761
_cell_length_c 11.701
_cell_angle_alpha 79.40
_cell_angle_beta 75.26
_cell_angle_gamma 81.23
loop_
_atom_site_label
_atom_site_type_symbol
_atom_site_fract_x
_atom_site_fract_y
_atom_site_fract_z
_atom_site_occupancy
Li1 Li 0.000 0.000 0.000 1
Li2 Li 0.050 0.110 0.278 1
Li3 Li 0.105 0.224 0.558 1
Li4 Li 0.161 0.332 0.835 1
Li5 Li 0.219 0.445 0.110 1
Li6 Li 0.273 0.557 0.389 1
Li7 Li 0.329 0.667 0.667 1
Li8 Li 0.383 0.778 0.946 1
Li9 Li 0.440 0.885 0.224 1
Li10 Li 0.498 0.000 0.500 1
Li11 Li 0.550 0.109 0.777 1
Li12 Li 0.661 0.332 0.335 1
Li13 Li 0.720 0.443 0.612 1
Li14 Li 0.774 0.554 0.890 1
Li15 Li 0.830 0.668 0.166 1
Li16 Li 0.884 0.781 0.445 1
Li17 Li 0.940 0.889 0.722 1
Nb1 Nb 0.013 0.599 0.649 1
Nb2 Nb 0.068 0.711 0.927 1
Nb3 Nb 0.122 0.823 0.206 1
Nb4 Nb 0.180 0.933 0.484 1
Nb5 Nb 0.235 0.044 0.762 1
Nb6 Nb 0.297 0.154 0.040 1
Nb7 Nb 0.345 0.267 0.318 1
Nb8 Nb 0.401 0.378 0.596 1
Nb9 Nb 0.456 0.489 0.873 1
Nb10 Nb 0.513 0.598 0.150 1
Nb11 Nb 0.569 0.710 0.428 1
Nb12 Nb 0.624 0.821 0.706 1
Nb13 Nb 0.679 0.932 0.984 1
Nb14 Nb 0.734 0.045 0.257 1
Nb15 Nb 0.792 0.155 0.541 1
Nb16 Nb 0.841 0.263 0.822 1
Nb17 Nb 0.901 0.377 0.095 1
Nb18 Nb 0.957 0.489 0.372 1
O1 O 0.000 0.099 0.461 1
O2 O 0.017 0.780 0.098 1
O3 O 0.025 0.151 0.853 1
O4 O 0.028 0.805 0.549 1
O5 O 0.086 0.665 0.328 1
O6 O 0.103 0.696 0.763 1
O7 O 0.108 0.317 0.018 1
O8 O 0.127 0.001 0.655 1
O9 O 0.136 0.374 0.409 1
O10 O 0.141 0.027 0.105 1
O11 O 0.198 0.887 0.884 1
O12 O 0.215 0.918 0.319 1
O13 O 0.221 0.544 0.571 1
O14 O 0.241 0.221 0.210 1
O15 O 0.248 0.599 0.963 1
O16 O 0.251 0.248 0.661 1
O17 O 0.308 0.109 0.442 1
O18 O 0.326 0.140 0.875 1
O19 O 0.331 0.763 0.129 1
O20 O 0.348 0.448 0.763 1
O21 O 0.360 0.818 0.519 1
O22 O 0.361 0.469 0.216 1
O23 O 0.406 0.335 0.993 1
O24 O 0.435 0.366 0.431 1
O25 O 0.443 0.987 0.684 1
O26 O 0.461 0.668 0.320 1
O27 O 0.469 0.031 0.076 1
O28 O 0.472 0.692 0.770 1
O29 O 0.533 0.553 0.550 1
O30 O 0.548 0.584 0.985 1
O31 O 0.555 0.206 0.251 1
O32 O 0.572 0.887 0.876 1
O33 O 0.581 0.262 0.630 1
O34 O 0.585 0.914 0.326 1
O35 O 0.644 0.772 0.105 1
O36 O 0.659 0.808 0.541 1
O37 O 0.664 0.429 0.795 1
O38 O 0.687 0.109 0.433 1
O39 O 0.691 0.484 0.187 1
O40 O 0.696 0.130 0.877 1
O41 O 0.754 0.996 0.662 1
O42 O 0.776 0.021 0.095 1
O43 O 0.777 0.653 0.348 1
O44 O 0.803 0.706 0.741 1
O45 O 0.804 0.342 0.980 1
O46 O 0.807 0.359 0.437 1
O47 O 0.864 0.219 0.216 1
O48 O 0.880 0.254 0.653 1
O49 O 0.888 0.874 0.904 1
O50 O 0.904 0.558 0.541 1
O51 O 0.914 0.932 0.297 1
O52 O 0.918 0.582 0.994 1
O53 O 0.978 0.441 0.768 1
O54 O 0.993 0.474 0.207 1
```

Entry 2:
Compound: Na2Sn2Pb
Source: the Alexandria database
Functional: SCAN
Structure: PBEsol geometry

Calculated values
DFT formation energy ... -0.166 eV per atom
N(E_F) ... 0.30 states/eV/atom
Volume ... 267.24 Å³/cell
Size of the total moment ... 0.0000 μB per atom

CIF file:
```
data_Na2Sn2Pb
_chemical_formula_sum 'Na4 Sn4 Pb2'
_symmetry_space_group_name_H-M 'P 4/m b m'
_symmetry_Int_Tables_number 127
_symmetry_space_group_name_Hall '-P 4 2ab'
_cell_length_a 8.697
_cell_length_b 8.697
_cell_length_c 3.534
_cell_angle_alpha 90.00
_cell_angle_beta 90.00
_cell_angle_gamma 90.00
loop_
_atom_site_label
_atom_site_type_symbol
_atom_site_fract_x
_atom_site_fract_y
_atom_site_fract_z
_atom_site_occupancy
Na1 Na 0.181 0.319 0.000 1
Sn1 Sn 0.118 0.618 0.500 1
Pb1 Pb 0.000 0.000 0.500 1
```

Entry 3:
Compound: Zr2TlCu
Source: the Alexandria database
Functional: SCAN
Structure: PBEsol geometry

Calculated values
DFT formation energy ... -0.143 eV per atom
N(E_F) ... 0.84 states/eV/atom
Volume ... 76.91 Å³/cell
Size of the total moment ... 0.0000 μB per atom

CIF file:
```
data_Zr2TlCu
_chemical_formula_sum 'Zr2 Tl1 Cu1'
_symmetry_space_group_name_H-M 'P m m m'
_symmetry_Int_Tables_number 47
_symmetry_space_group_name_Hall '-P 2 2'
_cell_length_a 3.217
_cell_length_b 3.999
_cell_length_c 5.978
_cell_angle_alpha 90.00
_cell_angle_beta 90.00
_cell_angle_gamma 90.00
loop_
_atom_site_label
_atom_site_type_symbol
_atom_site_fract_x
_atom_site_fract_y
_atom_site_fract_z
_atom_site_occupancy
Zr1 Zr 0.000 0.000 0.233 1
Tl1 Tl 0.500 0.500 0.500 1
Cu1 Cu 0.500 0.500 0.000 1
```

Entry 4:
Compound: TlCu3C
Source: the Alexandria database
Functional: SCAN
Structure: PBEsol geometry

Calculated values
DFT formation energy ... 2.340 eV per atom
N(E_F) ... 0.45 states/eV/atom
Volume ... 108.28 Å³/cell
Size of the total moment ... 0.2400 μB per atom

CIF file:
```
data_TlCu3C
_chemical_formula_sum 'Tl1 Cu3 C1'
_symmetry_space_group_name_H-M 'P m -3 m'
_symmetry_Int_Tables_number 221
_symmetry_space_group_name_Hall '-P 4 2 3'
_cell_length_a 4.766
_cell_length_b 4.766
_cell_length_c 4.766
_cell_angle_alpha 90.00
_cell_angle_beta 90.00
_cell_angle_gamma 90.00
loop_
_atom_site_label
_atom_site_type_symbol
_atom_site_fract_x
_atom_site_fract_y
_atom_site_fract_z
_atom_site_occupancy
Tl1 Tl 0.000 0.000 0.000 1
Cu1 Cu 0.000 0.000 0.500 1
C1 C 0.500 0.500 0.500 1
```

Entry 5:
Compound: SrSiW
Source: the Alexandria database
Functional: SCAN
Structure: PBEsol geometry

Calculated values
Formation energy (no corrections) ... 1.391 eV/atom
N(E_F) ... 0.83 states/eV/atom
Volume ... 260.06 Å³/cell
Size of the total moment ... 0.0000 μB per atom

CIF file:
```
data_SrSiW
_chemical_formula_sum 'Sr4 Si4 W4'
_symmetry_space_group_name_H-M 'F -4 3 m'
_symmetry_Int_Tables_number 216
_symmetry_space_group_name_Hall 'F -4 2 3'
_cell_length_a 6.383
_cell_length_b 6.383
_cell_length_c 6.383
_cell_angle_alpha 90.00
_cell_angle_beta 90.00
_cell_angle_gamma 90.00
loop_
_atom_site_label
_atom_site_type_symbol
_atom_site_fract_x
_atom_site_fract_y
_atom_site_fract_z
_atom_site_occupancy
Sr1 Sr 0.000 0.000 0.000 1
Si1 Si 0.000 0.000 0.500 1
W1 W 0.250 0.250 0.250 1
```

Entry 6:
Compound: Mg4SbCl
Source: the Alexandria database
Functional: SCAN
Structure: PBEsol geometry

Calculated values
Formation energy (no corrections) ... -0.132 eV/atom
N(E_F) ... 0.25 states/eV/atom
Volume ... 560.26 Å³/cell
Size of the total moment ... 0.0000 μB per atom

CIF file:
```
data_Mg4SbCl
_chemical_formula_sum 'Mg16 Sb4 Cl4'
_symmetry_space_group_name_H-M 'F -4 3 m'
_symmetry_Int_Tables_number 216
_symmetry_space_group_name_Hall 'F -4 2 3'
_cell_length_a 8.244
_cell_length_b 8.244
_cell_length_c 8.244
_cell_angle_alpha 90.00
_cell_angle_beta 90.00
_cell_angle_gamma 90.00
loop_
_atom_site_label
_atom_site_type_symbol
_atom_site_fract_x
_atom_site_fract_y
_atom_site_fract_z
_atom_site_occupancy
Mg1 Mg 0.124 0.124 0.376 1
Sb1 Sb 0.250 0.250 0.750 1
Cl1 Cl 0.000 0.000 0.000 1
```

Entry 7:
Compound: ErAl10Ru2
Source: the Alexandria database
Functional: SCAN
Structure: PBEsol geometry

Calculated values
DFT formation energy ... -0.593 eV per atom
N(E_F) ... 0.32 states/eV/atom
Volume ... 828.51 Å³/cell
Size of the total moment ... 0.0000 μB per atom

CIF file:
```
data_ErAl10Ru2
_chemical_formula_sum 'Er4 Al40 Ru8'
_symmetry_space_group_name_H-M 'C m c m'
_symmetry_Int_Tables_number 63
_symmetry_space_group_name_Hall '-C 2c 2'
_cell_length_a 9.018
_cell_length_b 10.156
_cell_length_c 9.047
_cell_angle_alpha 90.00
_cell_angle_beta 90.00
_cell_angle_gamma 90.00
loop_
_atom_site_label
_atom_site_type_symbol
_atom_site_fract_x
_atom_site_fract_y
_atom_site_fract_z
_atom_site_occupancy
Er1 Er 0.000 0.128 0.250 1
Al1 Al 0.000 0.156 0.600 1
Al2 Al 0.000 0.376 0.049 1
Al3 Al 0.151 0.370 0.750 1
Al4 Al 0.222 0.364 0.250 1
Al5 Al 0.225 0.000 0.000 1
Ru1 Ru 0.250 0.250 0.000 1
```

Entry 8:
Compound: RbSi3Cl
Source: the Alexandria database
Functional: SCAN
Structure: PBEsol geometry

Calculated values
Formation energy (no corrections) ... 1.104 eV/atom
N(E_F) ... 0.35 states/eV/atom
Volume ... 123.61 Å³/cell
Size of the total moment ... 0.0000 μB per atom

CIF file:
```
data_RbSi3Cl
_chemical_formula_sum 'Rb1 Si3 Cl1'
_symmetry_space_group_name_H-M 'P m -3 m'
_symmetry_Int_Tables_number 221
_symmetry_space_group_name_Hall '-P 4 2 3'
_cell_length_a 4.981
_cell_length_b 4.981
_cell_length_c 4.981
_cell_angle_alpha 90.00
_cell_angle_beta 90.00
_cell_angle_gamma 90.00
loop_
_atom_site_label
_atom_site_type_symbol
_atom_site_fract_x
_atom_site_fract_y
_atom_site_fract_z
_atom_site_occupancy
Rb1 Rb 0.000 0.000 0.000 1
Si1 Si 0.000 0.500 0.500 1
Cl1 Cl 0.500 0.500 0.500 1
```

Entry 9:
Compound: AlCdFe
Source: the Alexandria database
Functional: SCAN
Structure: PBEsol geometry

Calculated values
DFT formation energy ... 0.118 eV per atom
N(E_F) ... 0.51 states/eV/atom
Volume ... 46.07 Å³/cell
Size of the total moment ... 0.8585 μB per atom

CIF file:
```
data_AlCdFe
_chemical_formula_sum 'Al1 Cd1 Fe1'
_symmetry_space_group_name_H-M 'P 3 m 1'
_symmetry_Int_Tables_number 156
_symmetry_space_group_name_Hall 'P 3 -2"'
_cell_length_a 2.8226
_cell_length_b 2.8226
_cell_length_c 6.6769
_cell_angle_alpha 90.00
_cell_angle_beta 90.00
_cell_angle_gamma 120.00
loop_
_atom_site_label
_atom_site_type_symbol
_atom_site_fract_x
_atom_site_fract_y
_atom_site_fract_z
_atom_site_occupancy
Al1 Al 0.0000 0.0000 0.0000 1
Cd1 Cd 0.6667 0.3333 0.6235 1
Fe1 Fe 0.3333 0.6667 0.2859 1
```

Entry 10:
Compound: NaGaSiP2
Source: the Alexandria database
Functional: SCAN
Structure: PBEsol geometry

Calculated values
Formation energy (no corrections) ... 0.591 eV/atom
N(E_F) ... 0.48 states/eV/atom
Volume ... 106.74 Å³/cell
Size of the total moment ... 0.0000 μB per atom

CIF file:
```
data_NaGaSiP2
_chemical_formula_sum 'Na1 Ga1 Si1 P2'
_symmetry_space_group_name_H-M 'P 4/m m m'
_symmetry_Int_Tables_number 123
_symmetry_space_group_name_Hall '-P 4 2'
_cell_length_a 4.575
_cell_length_b 4.575
_cell_length_c 5.100
_cell_angle_alpha 90.00
_cell_angle_beta 90.00
_cell_angle_gamma 90.00
loop_
_atom_site_label
_atom_site_type_symbol
_atom_site_fract_x
_atom_site_fract_y
_atom_site_fract_z
_atom_site_occupancy
Na1 Na 0.000 0.000 0.000 1
Ga1 Ga 0.500 0.500 0.000 1
Si1 Si 0.000 0.000 0.500 1
P1 P 0.000 0.500 0.500 1
```

Which of these has the lowest volume?
AlCdFe

Please write out number 2 again, unchanged.
Compound: Na2Sn2Pb
Source: the Alexandria database
Functional: SCAN
Structure: PBEsol geometry

Calculated values
DFT formation energy ... -0.166 eV per atom
N(E_F) ... 0.30 states/eV/atom
Volume ... 267.24 Å³/cell
Size of the total moment ... 0.0000 μB per atom

CIF file:
```
data_Na2Sn2Pb
_chemical_formula_sum 'Na4 Sn4 Pb2'
_symmetry_space_group_name_H-M 'P 4/m b m'
_symmetry_Int_Tables_number 127
_symmetry_space_group_name_Hall '-P 4 2ab'
_cell_length_a 8.697
_cell_length_b 8.697
_cell_length_c 3.534
_cell_angle_alpha 90.00
_cell_angle_beta 90.00
_cell_angle_gamma 90.00
loop_
_atom_site_label
_atom_site_type_symbol
_atom_site_fract_x
_atom_site_fract_y
_atom_site_fract_z
_atom_site_occupancy
Na1 Na 0.181 0.319 0.000 1
Sn1 Sn 0.118 0.618 0.500 1
Pb1 Pb 0.000 0.000 0.500 1
```

What is the formula in the fourth record?
TlCu3C